<a>
DFT (PBE-GGA) results for crystalline Mg2CdHg at its relaxed geometry.

a b c (Å): 5.1438 5.1438 3.2952
angles (deg): 90.00 90.00 99.66
Fractional positions:
Mg (0.5000, 0.5000, 0.0000)
Mg (0.0000, 0.0000, 0.0000)
Hg (0.0000, 0.5000, 0.5000)
Cd (0.5000, 0.0000, 0.5000)

Calculated values
Symmetry: Cmmm (65)


<b>
DFT (PBE-GGA) results for crystalline Mg2CdHg at its relaxed geometry.

a b c (Å): 5.5189 5.5189 5.5189
angles (deg): 133.37 133.37 68.07
Fractional positions:
Mg (0.2500, 0.7500, 0.5000)
Hg (0.7500, 0.2500, 0.5000)
Mg (0.0000, 0.0000, 0.0000)
Cd (0.5000, 0.5000, 0.0000)

Calculated values
Symmetry: I-4m2 (119)


<a> wins, 38 meV/atom ahead of the next structure.


<a>
DFT (PBE-GGA) results for crystalline Mg2CdHg at its relaxed geometry.

a b c (Å): 5.0137 3.2990 5.1782
angles (deg): 89.99 90.00 90.00
Fractional positions:
Mg (0.5000, 0.1250, 0.3263)
Cd (0.0000, 0.6255, 0.4234)
Mg (0.0000, 0.1245, 0.9215)
Hg (0.5000, 0.6249, 0.8288)

Calculated values
Symmetry: Pmm2 (25)


<b>
DFT (PBE-GGA) results for crystalline Mg2CdHg at its relaxed geometry.

a b c (Å): 3.3793 3.3793 9.3222
angles (deg): 79.60 79.60 60.25
Fractional positions:
Mg (0.2511, 0.2511, 0.2441)
Mg (0.0811, 0.0811, 0.7563)
Hg (0.6666, 0.6666, 0.9994)
Cd (0.5012, 0.5012, 0.5003)

Calculated values
Symmetry: Cm (8)


<a> wins, 52 meV/atom ahead of the next structure.


<a>
DFT (PBE-GGA) results for crystalline Mg2CdHg at its relaxed geometry.

a b c (Å): 4.9450 4.9450 4.9450
angles (deg): 60.00 60.00 60.00
Fractional positions:
Hg (0.5000, 0.5000, 0.5000)
Mg (0.2500, 0.2500, 0.2500)
Mg (0.7500, 0.7500, 0.7500)
Cd (0.0000, 0.0000, 0.0000)

Calculated values
Symmetry: Fm-3m (225)


<b>
DFT (PBE-GGA) results for crystalline Mg2CdHg at its relaxed geometry.

a b c (Å): 5.1269 5.1269 5.5736
angles (deg): 80.04 80.04 38.28
Fractional positions:
Mg (0.5019, 0.5019, 0.4975)
Cd (0.7500, 0.7500, 0.7500)
Mg (0.9981, 0.9981, 0.0025)
Hg (0.2500, 0.2500, 0.2500)

Calculated values
Symmetry: C2/m (12)


<c>
DFT (PBE-GGA) results for crystalline Mg2CdHg at its relaxed geometry.

a b c (Å): 4.9819 4.9819 4.9819
angles (deg): 60.00 60.00 60.00
Fractional positions:
Hg (0.7500, 0.7500, 0.7500)
Mg (0.0000, 0.0000, 0.0000)
Cd (0.5000, 0.5000, 0.5000)
Mg (0.2500, 0.2500, 0.2500)

Calculated values
Symmetry: F-43m (216)


<d>
DFT (PBE-GGA) results for crystalline Mg2CdHg at its relaxed geometry.

a b c (Å): 3.6771 3.3805 7.6484
angles (deg): 64.61 90.00 90.00
Fractional positions:
Hg (0.5000, 0.7500, 0.7500)
Mg (0.0000, 0.0077, 0.9942)
Mg (0.0000, 0.4923, 0.5058)
Cd (0.5000, 0.2500, 0.2500)

Calculated values
Symmetry: P2/m (10)


<d> wins, 11 meV/atom ahead of the next structure.


<a>
DFT (PBE-GGA) results for crystalline Mg2CdHg at its relaxed geometry.

a b c (Å): 6.0748 6.0748 6.0748
angles (deg): 147.43 132.34 58.92
Fractional positions:
Hg (0.2470, 0.7470, 0.5000)
Mg (0.7470, 0.2470, 0.5000)
Cd (0.4932, 0.4932, 0.0000)
Mg (0.0128, 0.0128, 0.0000)

Calculated values
Symmetry: Imm2 (44)


<b>
DFT (PBE-GGA) results for crystalline Mg2CdHg at its relaxed geometry.

a b c (Å): 9.4090 9.4090 9.4090
angles (deg): 20.64 20.64 20.64
Fractional positions:
Cd (0.2500, 0.2500, 0.2500)
Mg (0.0021, 0.0021, 0.0021)
Mg (0.4979, 0.4979, 0.4979)
Hg (0.7500, 0.7500, 0.7500)

Calculated values
Symmetry: R-3m (166)


<a> wins, 20 meV/atom ahead of the next structure.


<a>
DFT (PBE-GGA) results for crystalline Mg12Cd5Hg2 at its relaxed geometry.

a b c (Å): 4.5410 11.6121 11.6121
angles (deg): 45.34 78.16 78.16
Fractional positions:
Mg (0.7999, 0.9487, 0.4513)
Mg (0.9024, 0.0966, 0.0966)
Cd (0.6945, 0.3083, 0.3083)
Mg (0.5930, 0.1597, 0.6538)
Mg (0.0976, 0.9034, 0.9034)
Hg (0.0000, 0.7484, 0.2516)
Mg (0.4070, 0.3462, 0.8403)
Cd (0.3038, 0.1979, 0.1979)
Hg (0.0000, 0.2516, 0.7484)
Mg (0.2001, 0.0513, 0.5487)
Mg (0.2001, 0.5487, 0.0513)
Cd (0.3055, 0.6917, 0.6917)
Mg (0.7999, 0.4513, 0.9487)
Cd (0.6962, 0.8021, 0.8021)
Mg (0.5930, 0.6538, 0.1597)
Cd (0.5000, 0.0000, 0.0000)
Mg (0.0857, 0.4134, 0.4134)
Mg (0.4070, 0.8403, 0.3462)
Mg (0.9143, 0.5866, 0.5866)

Calculated values
Symmetry: C2/m (12)


<b>
DFT (PBE-GGA) results for crystalline Mg12Cd5Hg2 at its relaxed geometry.

a b c (Å): 9.3260 7.7256 7.4836
angles (deg): 85.57 90.00 127.13
Fractional positions:
Mg (0.6329, 0.6711, 0.7757)
Cd (0.6689, 0.3378, 0.8995)
Cd (0.0000, 0.0000, 0.5000)
Hg (0.7340, 0.0000, 0.0000)
Mg (0.9618, 0.3289, 0.2243)
Mg (0.8726, 0.7452, 0.1081)
Mg (0.3671, 0.3289, 0.2243)
Mg (0.4351, 0.8702, 0.7195)
Mg (0.0382, 0.6711, 0.7757)
Mg (0.3703, 0.2039, 0.6229)
Hg (0.2660, 0.0000, 0.0000)
Mg (0.5649, 0.1298, 0.2805)
Mg (0.6297, 0.7961, 0.3771)
Cd (0.3311, 0.6622, 0.1005)
Mg (0.1664, 0.7961, 0.3771)
Mg (0.1274, 0.2548, 0.8919)
Mg (0.8336, 0.2039, 0.6229)
Cd (0.2416, 0.4832, 0.5217)
Cd (0.7584, 0.5168, 0.4783)

Calculated values
Symmetry: C2/m (12)


<a> wins, 14 meV/atom ahead of the next structure.


<a>
DFT (PBE-GGA) results for crystalline Mg12Cd6Hg at its relaxed geometry.

a b c (Å): 8.0206 8.0206 8.0206
angles (deg): 105.87 105.87 105.87
Fractional positions:
Cd (0.8013, 0.5200, 0.9159)
Mg (0.1600, 0.7374, 0.8638)
Mg (0.8400, 0.2626, 0.1362)
Mg (0.5236, 0.8108, 0.4146)
Mg (0.8638, 0.1600, 0.7374)
Mg (0.8108, 0.4146, 0.5236)
Cd (0.4800, 0.0841, 0.1987)
Cd (0.5200, 0.9159, 0.8013)
Mg (0.7374, 0.8638, 0.1600)
Mg (0.4764, 0.1892, 0.5854)
Mg (0.1892, 0.5854, 0.4764)
Mg (0.5854, 0.4764, 0.1892)
Mg (0.1362, 0.8400, 0.2626)
Mg (0.4146, 0.5236, 0.8108)
Mg (0.2626, 0.1362, 0.8400)
Cd (0.0841, 0.1987, 0.4800)
Hg (0.0000, 0.0000, 0.0000)
Cd (0.1987, 0.4800, 0.0841)
Cd (0.9159, 0.8013, 0.5200)

Calculated values
Symmetry: R-3 (148)


<b>
DFT (PBE-GGA) results for crystalline Mg12Cd6Hg at its relaxed geometry.

a b c (Å): 7.5397 7.5397 7.5397
angles (deg): 88.72 88.72 88.72
Fractional positions:
Mg (0.5721, 0.1958, 0.4761)
Mg (0.1505, 0.3692, 0.0360)
Mg (0.4279, 0.8042, 0.5239)
Mg (0.5239, 0.4279, 0.8042)
Mg (0.1958, 0.4761, 0.5721)
Mg (0.0360, 0.1505, 0.3692)
Mg (0.9640, 0.8495, 0.6308)
Mg (0.3692, 0.0360, 0.1505)
Cd (0.2772, 0.7231, 0.8818)
Mg (0.4761, 0.5721, 0.1958)
Mg (0.8042, 0.5239, 0.4279)
Mg (0.8495, 0.6308, 0.9640)
Hg (0.0000, 0.0000, 0.0000)
Cd (0.7231, 0.8818, 0.2772)
Mg (0.6308, 0.9640, 0.8495)
Cd (0.8818, 0.2772, 0.7231)
Cd (0.2769, 0.1182, 0.7228)
Cd (0.1182, 0.7228, 0.2769)
Cd (0.7228, 0.2769, 0.1182)

Calculated values
Symmetry: R-3 (148)


<b> wins, 21 meV/atom ahead of the next structure.


<a>
DFT (PBE-GGA) results for crystalline Mg8Cd3Hg2 at its relaxed geometry.

a b c (Å): 4.9225 7.7375 8.7741
angles (deg): 116.16 90.00 90.00
Fractional positions:
Mg (0.0000, 0.6709, 0.3419)
Mg (0.5000, 0.4045, 0.2286)
Mg (0.5000, 0.5955, 0.7714)
Cd (0.5000, 0.0000, 0.0000)
Hg (0.5000, 0.2333, 0.4667)
Mg (0.5000, 0.1760, 0.7714)
Cd (0.0000, 0.7012, 0.0000)
Hg (0.5000, 0.7667, 0.5333)
Mg (0.0000, 0.1298, 0.2597)
Mg (0.5000, 0.8240, 0.2286)
Cd (0.0000, 0.2988, 0.0000)
Mg (0.0000, 0.8702, 0.7403)
Mg (0.0000, 0.3291, 0.6581)

Calculated values
Symmetry: Cmmm (65)


<b>
DFT (PBE-GGA) results for crystalline Mg8Cd3Hg2 at its relaxed geometry.

a b c (Å): 5.6192 8.1497 7.8342
angles (deg): 121.34 93.98 90.00
Fractional positions:
Hg (0.3193, 0.2188, 0.4377)
Hg (0.6807, 0.7812, 0.5623)
Mg (0.5831, 0.5665, 0.7554)
Mg (0.4169, 0.8111, 0.2446)
Mg (0.0998, 0.4014, 0.8027)
Mg (0.4169, 0.4335, 0.2446)
Cd (0.5000, 0.0000, 0.0000)
Mg (0.9002, 0.5986, 0.1973)
Cd (0.0000, 0.8182, 0.0000)
Cd (0.0000, 0.1818, 0.0000)
Mg (0.8212, 0.1892, 0.3785)
Mg (0.5831, 0.1889, 0.7554)
Mg (0.1788, 0.8108, 0.6215)

Calculated values
Symmetry: C2/m (12)


<a> wins, 36 meV/atom ahead of the next structure.


<a>
DFT (PBE-GGA) results for crystalline MgCd12Hg7 at its relaxed geometry.

a b c (Å): 7.4446 9.0292 9.0292
angles (deg): 67.25 74.05 105.95
Fractional positions:
Hg (0.3354, 0.3330, 0.8464)
Mg (0.0000, 0.0000, 0.0000)
Hg (0.1819, 0.8464, 0.8205)
Cd (0.2399, 0.5908, 0.3756)
Cd (0.3846, 0.6244, 0.9663)
Cd (0.6154, 0.3756, 0.0337)
Hg (0.6646, 0.6670, 0.1536)
Cd (0.6491, 0.0337, 0.5908)
Cd (0.7601, 0.4092, 0.6244)
Hg (0.8181, 0.1536, 0.1795)
Hg (0.0024, 0.8205, 0.3330)
Cd (0.4537, 0.2906, 0.4840)
Cd (0.8368, 0.7746, 0.7094)
Cd (0.3509, 0.9663, 0.4092)
Cd (0.1632, 0.2254, 0.2906)
Cd (0.9377, 0.4840, 0.2254)
Hg (0.9976, 0.1795, 0.6670)
Hg (0.5000, 0.0000, 0.0000)
Cd (0.0623, 0.5160, 0.7746)
Cd (0.5463, 0.7094, 0.5160)

Calculated values
Symmetry: R-3 (148)


<b>
DFT (PBE-GGA) results for crystalline MgCd12Hg7 at its relaxed geometry.

a b c (Å): 8.0212 8.0212 8.0212
angles (deg): 102.41 102.41 102.41
Fractional positions:
Cd (0.8199, 0.4019, 0.4013)
Cd (0.7307, 0.0004, 0.2696)
Hg (0.1434, 0.4018, 0.1440)
Cd (0.4019, 0.4013, 0.8199)
Cd (0.5981, 0.5987, 0.1801)
Mg (0.0000, 0.0000, 0.0000)
Cd (0.4013, 0.8199, 0.4019)
Cd (0.9996, 0.7304, 0.2693)
Cd (0.2696, 0.7307, 0.0004)
Hg (0.1440, 0.1434, 0.4018)
Hg (0.4018, 0.1440, 0.1434)
Hg (0.5000, 0.5000, 0.5000)
Hg (0.8566, 0.5982, 0.8560)
Cd (0.0004, 0.2696, 0.7307)
Cd (0.1801, 0.5981, 0.5987)
Hg (0.8560, 0.8566, 0.5982)
Hg (0.5982, 0.8560, 0.8566)
Cd (0.5987, 0.1801, 0.5981)
Cd (0.7304, 0.2693, 0.9996)
Cd (0.2693, 0.9996, 0.7304)

Calculated values
Symmetry: R-3m (166)


<b> wins, 6 meV/atom ahead of the next structure.